# PmReBi

PmReBi after structural relaxation (PBE-GGA, Alexandria).

a b c (Å): 4.0927 4.6323 12.0004
angles (deg): 101.18 132.88 89.98
Last column: nearest neighbours and their distance in Å.
Element x y z (fractional)
Bi: 0.5630 0.7041 0.9069  1 Re 2.78
Pm: 0.6271 0.0943 0.6888  6 Re 3.22-3.25, 5 Bi 3.43-3.61
Bi: 0.4370 0.2959 0.0931  1 Re 2.78
Re: 0.9077 0.5401 0.5791  2 Re 2.45
Re: 0.0923 0.4599 0.4209  2 Re 2.45
Pm: 0.3729 0.9057 0.3112  6 Re 3.22-3.25, 5 Bi 3.43-3.61

Calculated values
electronic total energy = -7.176 eV/atom

---

# BeSbBr2

BeSbBr2 after structural relaxation (PBE-GGA, Alexandria).

a b c (Å): 3.5719 5.7871 5.1420
angles (deg): 89.94 90.00 90.00
Last column: nearest neighbours and their distance in Å.
Element x y z (fractional)
Br: 0.5000 0.5000 0.0000  2 Sb 2.57
Sb: 0.5000 0.5000 0.5000  2 Br 2.57
Be: 0.0000 0.0000 0.5000  2 Br 2.57
Br: 0.0000 0.0000 0.0000  2 Be 2.57

Calculated values
energy above the lowest structure with this stoichiometry = 66.82 kJ/mol of atoms

---

# CaSm3Dy3

CaSm3Dy3 after structural relaxation (PBE-GGA, Alexandria).

a b c (Å): 13.0272 11.4141 7.2473
angles (deg): 50.71 46.01 38.01
Last column: nearest neighbours and their distance in Å.
Element x y z (fractional)
Sm: 0.5012 0.9992 0.2570  6 Sm 3.51-3.74, 4 Dy 3.55-3.60, 2 Ca 3.66
Sm: 0.6426 0.5661 0.7532  4 Sm 3.52-3.63, 6 Dy 3.60-3.68, 2 Ca 3.61-3.63
Sm: 0.3574 0.4339 0.2468  4 Sm 3.52-3.63, 6 Dy 3.60-3.68, 2 Ca 3.61-3.63
Ca: 0.3566 0.4306 0.7497  1 Ca 3.58, 6 Sm 3.61-3.66, 5 Dy 3.66-3.72
Sm: 0.4988 0.0008 0.7430  6 Sm 3.51-3.74, 4 Dy 3.55-3.60, 2 Ca 3.66
Dy: 0.2025 0.8737 0.2411  5 Dy 3.49-3.73, 5 Sm 3.51-3.68, 2 Ca 3.72
Dy: 0.2049 0.8698 0.7564  6 Dy 3.45-3.73, 4 Sm 3.52-3.65, 2 Ca 3.69-3.71
Ca: 0.6434 0.5694 0.2503  1 Ca 3.58, 6 Sm 3.61-3.66, 5 Dy 3.66-3.72
Dy: 0.0772 0.2847 0.7405  4 Dy 3.52-3.66, 7 Sm 3.55-3.67, 1 Ca 3.66
Dy: 0.9228 0.7153 0.2595  4 Dy 3.52-3.66, 7 Sm 3.55-3.67, 1 Ca 3.66
Dy: 0.7975 0.1263 0.7589  5 Dy 3.49-3.73, 5 Sm 3.51-3.68, 2 Ca 3.72
Sm: 0.0735 0.2778 0.2589  6 Dy 3.51-3.67, 4 Sm 3.61-3.75, 2 Ca 3.65
Dy: 0.7951 0.1302 0.2436  6 Dy 3.45-3.73, 4 Sm 3.52-3.65, 2 Ca 3.69-3.71
Sm: 0.9265 0.7222 0.7411  6 Dy 3.51-3.67, 4 Sm 3.61-3.75, 2 Ca 3.65

Calculated values
electronic total energy = -4.230 eV/atom

---

# ClF2

ClF2 after structural relaxation (PBE-GGA, Alexandria).

a b c (Å): 2.3694 4.1414 13.0050
angles (deg): 80.84 85.10 55.29
Last column: nearest neighbours and their distance in Å.
Element x y z (fractional)
F: 0.5273 0.4669 0.9277  2 F 1.73-1.74
F: 0.0260 0.9804 0.9016  2 F 1.73-1.74
Cl: 0.0171 0.2201 0.4173  2 Cl 2.37
F: 0.5266 0.0855 0.6764  2 F 1.73-1.74
F: 0.0251 0.5992 0.6503  2 F 1.73-1.74
Cl: 0.5276 0.8464 0.1606  2 Cl 2.37

Calculated values
energy above the lowest structure with this stoichiometry = 71.99 kJ/mol of atoms

---

# CeEu2Zr

CeEu2Zr after structural relaxation (PBE-GGA, Alexandria).

a b c (Å): 3.3613 3.3613 12.6108
angles (deg): 82.34 82.34 60.00
Last column: nearest neighbours and their distance in Å.
Element x y z (fractional)
Zr: 0.0000 0.0000 0.0000  2 Eu 3.13, 6 Zr 3.36
Ce: 0.5000 0.5000 0.5000  6 Ce 3.36, 6 Eu 3.65
Eu: 0.9161 0.9161 0.2516  1 Zr 3.13, 6 Eu 3.36
Eu: 0.0839 0.0839 0.7484  1 Zr 3.13, 6 Eu 3.36

Calculated values
electronic total energy = -8.312 eV/atom

---

# La6Si3ICl2

La6Si3ICl2 after structural relaxation (PBE-GGA, Alexandria).

a b c (Å): 4.3891 8.9126 9.9192
angles (deg): 104.17 102.78 90.00
Last column: nearest neighbours and their distance in Å.
Element x y z (fractional)
La: 0.3400 0.3996 0.6800  3 Si 3.00, 3 Cl 3.19-3.24
La: 0.6769 0.0704 0.3538  3 Si 2.97-3.02, 2 Cl 3.27, 1 I 3.32
La: 0.6600 0.6004 0.3200  3 Si 3.00, 3 Cl 3.19-3.24
I: 0.5000 0.0000 0.0000  6 La 3.31-3.32
Cl: 0.1702 0.3389 0.3403  6 La 3.19-3.27
La: 0.3231 0.9296 0.6462  3 Si 2.97-3.02, 2 Cl 3.27, 1 I 3.32
Si: 0.8352 0.1675 0.6704  6 La 2.97-3.02
Cl: 0.8298 0.6611 0.6597  6 La 3.19-3.27
La: 0.9961 0.2752 0.9923  3 Si 2.96-3.02, 1 Cl 3.27, 2 I 3.31
Si: 0.1648 0.8325 0.3296  6 La 2.97-3.02
Si: 0.5000 0.5000 0.0000  6 La 2.96-3.00
La: 0.0039 0.7248 0.0077  3 Si 2.96-3.02, 1 Cl 3.27, 2 I 3.31

Calculated values
electronic total energy = -5.418 eV/atom

---

# ZrMoSe2

ZrMoSe2 after structural relaxation (PBE-GGA, Alexandria).

a b c (Å): 6.0351 6.0351 6.0351
angles (deg): 144.08 144.08 51.70
Last column: nearest neighbours and their distance in Å.
Element x y z (fractional)
Se: 0.0000 0.0000 0.0000  4 Zr 2.63
Se: 0.2500 0.7500 0.5000  4 Mo 2.63
Mo: 0.7500 0.2500 0.5000  4 Se 2.63
Zr: 0.5000 0.5000 0.0000  4 Se 2.63

Calculated values
energy above the lowest structure with this stoichiometry = 42.09 kJ/mol of atoms

---

# CaCr2Se

CaCr2Se after structural relaxation (PBE-GGA, Alexandria).

a b c (Å): 4.5133 4.2229 4.4313
angles (deg): 89.96 90.00 90.00
Last column: nearest neighbours and their distance in Å.
Element x y z (fractional)
Se: 0.5000 0.2500 0.2500  4 Cr 2.61
Cr: 0.0000 0.2496 0.9533  1 Cr 1.80
Ca: 0.5000 0.7500 0.7500  4 Se 3.06, 8 Cr 3.22
Cr: 0.0000 0.2504 0.5467  1 Cr 1.80

Calculated values
electronic total energy = -5.977 eV/atom

---

# LiScTe2Br

LiScTe2Br after structural relaxation (PBE-GGA, Alexandria).

a b c (Å): 4.8502 5.7222 4.8502
angles (deg): 90.00 90.00 90.00
Last column: nearest neighbours and their distance in Å.
Element x y z (fractional)
Sc: 0.0000 0.5000 0.0000  2 Li 2.86
Te: 0.5000 0.0000 0.0000  2 Li 2.43
Li: 0.0000 0.0000 0.0000  4 Te 2.43
Br: 0.5000 0.5000 0.5000  4 Sc 3.43, 8 Te 3.75
Te: 0.0000 0.0000 0.5000  2 Li 2.43

Calculated values
electronic total energy = -3.363 eV/atom

---

# CrCuNi2H4

CrCuNi2H4 after structural relaxation (PBE-GGA, Alexandria).

a b c (Å): 2.5944 4.6950 4.7320
angles (deg): 70.06 90.00 90.00
Last column: nearest neighbours and their distance in Å.
Element x y z (fractional)
H: 0.0000 0.7730 0.7050  2 Ni 1.75, 1 Cr 1.85
Ni: 0.0000 0.0000 0.0000  6 H 1.87-2.02
Cu: 0.5000 0.5000 0.0000  6 H 2.01-2.02
Cr: 0.0000 0.5000 0.5000  6 H 1.85-1.89
H: 0.5000 0.2358 0.7411  3 Ni 1.84-1.87, 2 Cr 1.89, 1 Cu 2.02
H: 0.0000 0.2270 0.2950  2 Ni 1.75, 1 Cr 1.85
Ni: 0.5000 0.0000 0.5000  6 H 1.75-1.84
H: 0.5000 0.7642 0.2589  3 Ni 1.84-1.87, 2 Cr 1.89, 1 Cu 2.02

Calculated values
electronic total energy = -4.775 eV/atom

---

# Tb4Pr2SmHo

Tb4Pr2SmHo after structural relaxation (PBE-GGA, Alexandria).

a b c (Å): 5.1115 5.0912 11.3683
angles (deg): 63.34 90.00 90.00
Last column: nearest neighbours and their distance in Å.
Element x y z (fractional)
Pr: 0.0000 0.0000 0.0000  4 Sm 3.61, 8 Tb 3.61
Tb: 0.0000 0.7519 0.7481  2 Ho 3.58, 4 Pr 3.59-3.61, 4 Tb 3.61, 2 Sm 3.62
Tb: 0.5000 0.2509 0.7488  4 Pr 3.59-3.61, 2 Ho 3.59, 2 Sm 3.60-3.61, 4 Tb 3.61
Ho: 0.0000 0.5000 0.5000  8 Tb 3.58-3.59, 4 Pr 3.61
Pr: 0.5000 0.0000 0.5000  8 Tb 3.59, 4 Ho 3.61
Sm: 0.5000 0.5000 0.0000  8 Tb 3.60-3.62, 4 Pr 3.61
Tb: 0.5000 0.7491 0.2512  4 Pr 3.59-3.61, 2 Ho 3.59, 2 Sm 3.60-3.61, 4 Tb 3.61
Tb: 0.0000 0.2481 0.2519  2 Ho 3.58, 4 Pr 3.59-3.61, 4 Tb 3.61, 2 Sm 3.62

Calculated values
electronic total energy = -4.654 eV/atom

---

# Ti4GaNi12

Ti4GaNi12 after structural relaxation (PBE-GGA, Alexandria).

a b c (Å): 6.4905 6.4905 6.4905
angles (deg): 109.47 109.47 109.47
Last column: nearest neighbours and their distance in Å.
Element x y z (fractional)
Ni: 0.5000 0.7500 0.2500  8 Ni 2.39-2.65, 4 Ti 2.65
Ni: 0.2500 0.7500 0.5000  8 Ni 2.39-2.65, 4 Ti 2.65
Ni: 0.3016 0.0000 0.3016  1 Ga 2.26, 4 Ni 2.39
Ni: 0.7500 0.5000 0.2500  8 Ni 2.39-2.65, 4 Ti 2.65
Ga: 0.0000 0.0000 0.0000  6 Ni 2.26
Ni: 0.0000 0.3016 0.3016  1 Ga 2.26, 4 Ni 2.39
Ni: 0.6984 0.0000 0.6984  1 Ga 2.26, 4 Ni 2.39
Ni: 0.3016 0.3016 0.0000  1 Ga 2.26, 4 Ni 2.39
Ti: 0.0000 0.5000 0.0000  12 Ni 2.65-2.68
Ni: 0.5000 0.2500 0.7500  8 Ni 2.39-2.65, 4 Ti 2.65
Ti: 0.0000 0.0000 0.5000  12 Ni 2.65-2.68
Ni: 0.2500 0.5000 0.7500  8 Ni 2.39-2.65, 4 Ti 2.65
Ni: 0.6984 0.6984 0.0000  1 Ga 2.26, 4 Ni 2.39
Ti: 0.5000 0.0000 0.0000  12 Ni 2.65-2.68
Ni: 0.0000 0.6984 0.6984  1 Ga 2.26, 4 Ni 2.39
Ni: 0.7500 0.2500 0.5000  8 Ni 2.39-2.65, 4 Ti 2.65
Ti: 0.5000 0.5000 0.5000  12 Ni 2.65-2.68

Calculated values
electronic total energy = -6.410 eV/atom

---

# CsBa2I2

CsBa2I2 after structural relaxation (PBE-GGA, Alexandria).

a b c (Å): 10.0952 10.0952 4.5830
angles (deg): 90.00 90.00 90.00
Last column: nearest neighbours and their distance in Å.
Element x y z (fractional)
I: 0.8654 0.6346 0.0000  6 Ba 3.72-3.77, 1 I 3.84, 2 Cs 3.93
Ba: 0.1605 0.6605 0.5000  6 I 3.72-3.77
Ba: 0.3395 0.1605 0.5000  6 I 3.72-3.77
Cs: 0.0000 0.0000 0.0000  4 I 3.93
I: 0.3654 0.8654 0.0000  6 Ba 3.72-3.77, 1 I 3.84, 2 Cs 3.93
I: 0.6346 0.1346 0.0000  6 Ba 3.72-3.77, 1 I 3.84, 2 Cs 3.93
I: 0.1346 0.3654 0.0000  6 Ba 3.72-3.77, 1 I 3.84, 2 Cs 3.93
Ba: 0.6605 0.8395 0.5000  6 I 3.72-3.77
Cs: 0.5000 0.5000 0.0000  4 I 3.93
Ba: 0.8395 0.3395 0.5000  6 I 3.72-3.77

Calculated values
energy above the lowest structure with this stoichiometry = 5.04 kJ/mol of atoms

---

# ZrBeCu

ZrBeCu after structural relaxation (PBE-GGA, Alexandria).

a b c (Å): 3.9512 5.0606 5.0978
angles (deg): 78.91 67.20 67.02
Last column: nearest neighbours and their distance in Å.
Element x y z (fractional)
Zr: 0.9404 0.8146 0.3046  6 Be 2.72-3.03, 6 Cu 2.77-2.98
Zr: 0.0596 0.1854 0.6954  6 Be 2.72-3.03, 6 Cu 2.77-2.98
Be: 0.6536 0.3988 0.2941  1 Be 2.19, 3 Cu 2.29-2.40
Be: 0.3464 0.6012 0.7059  1 Be 2.19, 3 Cu 2.29-2.40
Cu: 0.6781 0.7442 0.8996  3 Be 2.29-2.40
Cu: 0.3219 0.2558 0.1004  3 Be 2.29-2.40

Calculated values
energy above the lowest structure with this stoichiometry = 2.38 kJ/mol of atoms

---

# MgNi2RuW

MgNi2RuW after structural relaxation (PBE-GGA, Alexandria).

a b c (Å): 4.5756 4.6067 4.5756
angles (deg): 90.00 90.00 90.00
Last column: nearest neighbours and their distance in Å.
Element x y z (fractional)
Ni: 0.5000 0.0000 0.0000  2 Ru 2.29
Mg: 0.5000 0.5000 0.5000  4 W 3.24, 8 Ni 3.25
Ni: 0.0000 0.0000 0.5000  2 Ru 2.29
Ru: 0.0000 0.0000 0.0000  4 Ni 2.29, 2 W 2.30
W: 0.0000 0.5000 0.0000  2 Ru 2.30

Calculated values
energy above the lowest structure with this stoichiometry = 0.00 kJ/mol of atoms

---

# NiBC

NiBC after structural relaxation (PBE-GGA, Alexandria).

a b c (Å): 2.7251 2.7251 3.8976
angles (deg): 90.00 90.00 120.00
Last column: nearest neighbours and their distance in Å.
Element x y z (fractional)
B: 0.0000 0.0000 0.5000  3 C 1.57
Ni: 0.6667 0.3333 0.0000  2 C 1.95
C: 0.6667 0.3333 0.5000  3 B 1.57

Calculated values
energy above the lowest structure with this stoichiometry = 0.00 kJ/mol of atoms

---

# HfAl2TlTe

HfAl2TlTe after structural relaxation (PBE-GGA, Alexandria).

a b c (Å): 5.0633 5.6268 5.0633
angles (deg): 90.00 90.00 90.00
Last column: nearest neighbours and their distance in Å.
Element x y z (fractional)
Al: 0.5000 0.0000 0.0000  2 Tl 2.53
Hf: 0.0000 0.5000 0.0000  2 Tl 2.81
Te: 0.5000 0.5000 0.5000  4 Hf 3.58, 8 Al 3.78
Al: 0.0000 0.0000 0.5000  2 Tl 2.53
Tl: 0.0000 0.0000 0.0000  4 Al 2.53, 2 Hf 2.81

Calculated values
electronic total energy = -3.682 eV/atom

---

# Ba2Mg3AlCd12

Ba2Mg3AlCd12 after structural relaxation (PBE-GGA, Alexandria).

a b c (Å): 12.7335 12.7335 12.7335
angles (deg): 31.48 31.48 31.48
Last column: nearest neighbours and their distance in Å.
Element x y z (fractional)
Ba: 0.3563 0.3563 0.3563  12 Cd 3.68-3.71, 3 Al 4.07
Mg: 0.5000 0.0000 0.0000  4 Cd 2.88
Al: 0.0000 0.0000 0.0000  6 Cd 2.91
Cd: 0.9017 0.3783 0.9017  1 Al 2.91, 2 Cd 2.93
Cd: 0.5893 0.1632 0.5893  2 Mg 2.88, 4 Cd 2.93-2.94
Cd: 0.3783 0.9017 0.9017  1 Al 2.91, 2 Cd 2.93
Cd: 0.5893 0.5893 0.1632  2 Mg 2.88, 4 Cd 2.93-2.94
Cd: 0.1632 0.5893 0.5893  2 Mg 2.88, 4 Cd 2.93-2.94
Mg: 0.0000 0.5000 0.0000  4 Cd 2.88
Cd: 0.6217 0.0983 0.0983  1 Al 2.91, 2 Cd 2.93
Cd: 0.4107 0.4107 0.8368  2 Mg 2.88, 4 Cd 2.93-2.94
Cd: 0.8368 0.4107 0.4107  2 Mg 2.88, 4 Cd 2.93-2.94
Cd: 0.0983 0.6217 0.0983  1 Al 2.91, 2 Cd 2.93
Ba: 0.6437 0.6437 0.6437  12 Cd 3.68-3.71, 3 Al 4.07
Cd: 0.9017 0.9017 0.3783  1 Al 2.91, 2 Cd 2.93
Cd: 0.4107 0.8368 0.4107  2 Mg 2.88, 4 Cd 2.93-2.94
Cd: 0.0983 0.0983 0.6217  1 Al 2.91, 2 Cd 2.93
Mg: 0.0000 0.0000 0.5000  4 Cd 2.88

Calculated values
electronic total energy = -1.341 eV/atom

---

# Ac6Ge3P2S

Ac6Ge3P2S after structural relaxation (PBE-GGA, Alexandria).

a b c (Å): 4.4421 9.1560 10.1782
angles (deg): 105.31 102.60 90.00
Last column: nearest neighbours and their distance in Å.
Element x y z (fractional)
Ac: 0.0025 0.2482 0.0051  1 P 3.12, 2 S 3.17, 3 Ge 3.21-3.22
Ge: 0.5000 0.5000 0.0000  6 Ac 3.21-3.25
Ac: 0.9975 0.7518 0.9949  1 P 3.12, 2 S 3.17, 3 Ge 3.21-3.22
Ac: 0.6694 0.5765 0.3389  3 P 3.14-3.16, 3 Ge 3.25-3.26
Ge: 0.8343 0.1644 0.6685  6 Ac 3.22-3.26
P: 0.8344 0.6683 0.6688  6 Ac 3.12-3.16
Ge: 0.1657 0.8356 0.3315  6 Ac 3.22-3.26
Ac: 0.6648 0.0919 0.3297  2 P 3.12, 1 S 3.15, 3 Ge 3.24-3.25
P: 0.1656 0.3317 0.3312  6 Ac 3.12-3.16
S: 0.5000 0.0000 0.0000  6 Ac 3.15-3.17
Ac: 0.3306 0.4235 0.6611  3 P 3.14-3.16, 3 Ge 3.25-3.26
Ac: 0.3352 0.9081 0.6703  2 P 3.12, 1 S 3.15, 3 Ge 3.24-3.25

Calculated values
electronic total energy = -5.573 eV/atom

---

# Sr4CaTb2Ru2O12

Sr4CaTb2Ru2O12 after structural relaxation (PBE-GGA, Alexandria).

a b c (Å): 6.1221 6.3092 8.0886
angles (deg): 87.53 87.35 85.43
Last column: nearest neighbours and their distance in Å.
Element x y z (fractional)
O: 0.4661 0.5064 0.2527  1 Ru 2.08, 1 Tb 2.24, 1 Ca 2.29
Sr: 0.5306 0.9837 0.7572  6 O 2.58-2.81
O: 0.3326 0.8250 0.5000  1 Ru 2.15, 1 Ca 2.27, 1 Tb 2.31
O: 0.8624 0.7278 0.0552  1 Ru 2.00
O: 0.2395 0.3693 0.5454  1 Ru 2.05, 1 Tb 2.16
O: 0.2926 0.8160 0.0045  1 Ru 2.03
O: 0.5655 0.5699 0.7425  1 Ru 2.00, 1 Tb 2.18
O: 0.0307 0.0387 0.2500  1 Ru 2.09, 1 Ca 2.23, 1 Tb 2.25
O: 0.9539 0.9531 0.7592  1 Ru 1.99, 1 Tb 2.18
O: 0.7069 0.2418 0.5000  1 Ru 2.03, 1 Tb 2.27
Sr: 0.9665 0.5650 0.7417  5 O 2.45-2.69
Ru: 0.5211 0.5227 0.5039  6 O 2.00-2.15
Tb: 0.0553 0.0947 0.5207  5 O 2.16-2.31
Sr: 0.8498 0.3855 0.2027  5 O 2.40-2.67
Tb: 0.4256 0.4639 0.9822  5 O 2.15-2.32
O: 0.6867 0.1811 0.0028  1 Ru 2.18, 1 Tb 2.30, 1 Sr 2.41
Ca: 0.1366 0.6960 0.3003  4 O 2.23-2.33
O: 0.8011 0.6693 0.4445  1 Ru 2.04
Sr: 0.5884 0.9270 0.2475  5 O 2.53-2.81
Ru: 0.0036 0.9969 0.9966  6 O 1.99-2.18
O: 0.1512 0.2789 0.9483  1 Ru 2.07, 1 Tb 2.15

Calculated values
energy above the lowest structure with this stoichiometry = 0.00 kJ/mol of atoms